Record 1
## Cr2CoW (GGA-PBE)

Data for a geometry-optimized Cr2CoW structure.

Geometry as POSCAR:
```
Cr2CoW
1.0
4.322 -1.296 0.000
4.322 1.296 0.000
-0.720 0.000 4.533
Cr Co W
2 1 1
Cartesian
0.000 0.000 0.000
1.533 0.000 3.536
6.143 0.000 1.138
3.780 0.000 2.211
```

Calculated volume ... 12.70 A^3/atom
ΔH_f (0 K) ... 0.2703 eV per atom
SG ... No. 8
Raw total energy ... -9.556 eV/atom
Distance to the lowest polymorph of the same formula ... 0.133 eV/atom

Record 2
## Cr3CoW (GGA-PBE)

Data for a geometry-optimized Cr3CoW structure.

Geometry as POSCAR:
```
Cr3CoW
1.0
4.151 0.000 0.000
0.000 4.151 0.000
0.000 0.000 4.151
Cr Co W
3 1 1
Cartesian
0.000 0.000 2.075
0.000 2.075 0.000
2.075 0.000 0.000
0.000 0.000 0.000
2.075 2.075 2.075
```

Calculated volume ... 14.30 A^3/atom
ΔH_f (0 K) ... 1.2871 eV per atom
SG ... No. 221
Raw total energy ... -8.499 eV/atom
Distance to the lowest polymorph of the same formula ... 0.000 eV/atom

Record 3
## Cr2CoW (GGA-PBE)

Data for a geometry-optimized Cr2CoW structure.

Geometry as POSCAR:
```
Cr2CoW
1.0
2.568 -3.842 0.000
2.568 3.842 0.000
0.000 0.000 2.590
Cr Co W
2 1 1
Cartesian
1.284 1.921 0.000
1.284 -1.921 0.000
0.000 0.000 1.295
2.568 0.000 1.295
```

Calculated volume ... 12.78 A^3/atom
ΔH_f (0 K) ... 0.3317 eV per atom
SG ... No. 65
Raw total energy ... -9.495 eV/atom
Distance to the lowest polymorph of the same formula ... 0.194 eV/atom

Record 4
## CrCoW (GGA-PBE)

Data for a geometry-optimized CrCoW structure.

Geometry as POSCAR:
```
CrCoW
1.0
2.603 0.000 0.000
0.683 4.678 0.000
1.124 0.733 6.316
Cr Co W
2 2 2
Cartesian
0.000 0.000 0.000
1.643 2.339 0.000
0.757 1.198 1.981
3.652 4.213 4.335
1.912 1.842 4.179
2.497 3.570 2.137
```

Calculated volume ... 12.82 A^3/atom
ΔH_f (0 K) ... 0.1530 eV per atom
SG ... No. 2
Raw total energy ... -9.741 eV/atom
Distance to the lowest polymorph of the same formula ... 0.074 eV/atom

Record 5
## Cr2CoW (GGA-PBE)

Data for a geometry-optimized Cr2CoW structure.

Geometry as POSCAR:
```
Cr2CoW
1.0
2.561 0.000 0.000
0.000 4.159 0.000
-0.834 0.000 4.796
Cr Co W
2 1 1
Cartesian
0.387 0.000 1.141
1.340 0.000 3.655
1.280 2.079 0.000
-0.417 2.079 2.398
```

Calculated volume ... 12.77 A^3/atom
ΔH_f (0 K) ... 0.1987 eV per atom
SG ... No. 10
Raw total energy ... -9.628 eV/atom
Distance to the lowest polymorph of the same formula ... 0.061 eV/atom

Record 6
## CrCoW2 (GGA-PBE)

Data for a geometry-optimized CrCoW2 structure.

Geometry as POSCAR:
```
CrCoW2
1.0
1.350 0.780 8.916
-1.350 0.780 8.916
0.000 -1.559 8.916
Cr Co W
1 1 2
Cartesian
0.000 0.000 0.000
0.000 0.000 7.046
0.000 0.000 13.776
0.000 0.000 20.163
```

Calculated volume ... 14.08 A^3/atom
ΔH_f (0 K) ... 0.4134 eV per atom
SG ... No. 160
Raw total energy ... -10.246 eV/atom
Distance to the lowest polymorph of the same formula ... 0.268 eV/atom

Record 7
## CrCoW2 (GGA-PBE)

Data for a geometry-optimized CrCoW2 structure.

Geometry as POSCAR:
```
CrCoW2
1.0
2.632 0.000 0.000
0.000 3.794 0.000
0.000 0.000 5.567
Cr Co W
1 1 2
Cartesian
0.000 0.000 0.000
1.316 1.897 4.330
0.000 0.000 3.007
1.316 1.897 1.393
```

Calculated volume ... 13.90 A^3/atom
ΔH_f (0 K) ... 0.3091 eV per atom
SG ... No. 25
Raw total energy ... -10.350 eV/atom
Distance to the lowest polymorph of the same formula ... 0.163 eV/atom

Record 8
## CrCo2W (GGA-PBE)

Data for a geometry-optimized CrCo2W structure.

Geometry as POSCAR:
```
CrCo2W
1.0
4.285 -1.339 0.000
4.285 1.339 0.000
-0.891 0.000 4.303
Cr Co W
1 2 1
Cartesian
0.000 0.000 0.000
1.510 0.000 3.290
6.169 0.000 1.013
3.839 0.000 2.152
```

Calculated volume ... 12.35 A^3/atom
ΔH_f (0 K) ... 0.2222 eV per atom
SG ... No. 12
Raw total energy ... -8.975 eV/atom
Distance to the lowest polymorph of the same formula ... 0.196 eV/atom

Record 9
## Cr2CoW (GGA-PBE)

Data for a geometry-optimized Cr2CoW structure.

Geometry as POSCAR:
```
Cr2CoW
1.0
2.532 -4.185 0.000
2.532 4.185 0.000
-0.887 0.000 2.410
Cr Co W
2 1 1
Cartesian
1.266 2.092 0.000
1.266 -2.092 0.000
-0.444 0.000 1.205
2.088 0.000 1.205
```

Calculated volume ... 12.77 A^3/atom
ΔH_f (0 K) ... 0.1955 eV per atom
SG ... No. 12
Raw total energy ... -9.631 eV/atom
Distance to the lowest polymorph of the same formula ... 0.058 eV/atom

Record 10
## CrCo2W (GGA-PBE)

Data for a geometry-optimized CrCo2W structure.

Geometry as POSCAR:
```
CrCo2W
1.0
-1.817 1.817 3.646
1.817 -1.817 3.646
1.817 1.817 -3.646
Cr Co W
1 2 1
Cartesian
0.000 0.000 0.000
1.817 0.000 1.823
0.000 1.817 1.823
0.000 0.000 3.646
```

Calculated volume ... 12.04 A^3/atom
ΔH_f (0 K) ... 0.0310 eV per atom
SG ... No. 139
Raw total energy ... -9.166 eV/atom
Distance to the lowest polymorph of the same formula ... 0.005 eV/atom

Record 11
## CrCoW (GGA-PBE)

Data for a geometry-optimized CrCoW structure.

Geometry as POSCAR:
```
CrCoW
1.0
4.199 0.000 0.000
-2.100 3.637 0.000
0.000 0.000 2.589
Cr Co W
1 1 1
Cartesian
0.000 0.000 0.000
0.000 2.424 1.729
2.100 1.212 0.828
```

Calculated volume ... 13.18 A^3/atom
ΔH_f (0 K) ... 0.2178 eV per atom
SG ... No. 156
Raw total energy ... -9.676 eV/atom
Distance to the lowest polymorph of the same formula ... 0.139 eV/atom

Record 12
## CrCoW2 (GGA-PBE)

Data for a geometry-optimized CrCoW2 structure.

Geometry as POSCAR:
```
CrCoW2
1.0
2.646 0.000 0.000
0.000 4.306 0.000
-0.817 0.000 4.890
Cr Co W
1 1 2
Cartesian
0.000 0.000 0.000
-0.032 2.153 3.625
0.909 0.000 2.483
1.800 2.153 1.112
```

Calculated volume ... 13.93 A^3/atom
ΔH_f (0 K) ... 0.2027 eV per atom
SG ... No. 6
Raw total energy ... -10.456 eV/atom
Distance to the lowest polymorph of the same formula ... 0.057 eV/atom

Record 13
## CrCoW2 (GGA-PBE)

Data for a geometry-optimized CrCoW2 structure.

Geometry as POSCAR:
```
CrCoW2
1.0
1.598 -2.128 0.000
1.598 2.128 0.000
0.000 0.000 8.093
Cr Co W
1 1 2
Cartesian
0.000 0.000 0.000
0.000 0.000 4.047
1.598 0.000 2.093
1.598 0.000 6.000
```

Calculated volume ... 13.76 A^3/atom
ΔH_f (0 K) ... 0.1457 eV per atom
SG ... No. 65
Raw total energy ... -10.513 eV/atom
Distance to the lowest polymorph of the same formula ... 0.000 eV/atom

Record 14
## Cr2CoW (GGA-PBE)

Data for a geometry-optimized Cr2CoW structure.

Geometry as POSCAR:
```
Cr2CoW
1.0
1.553 -2.062 0.000
1.553 2.062 0.000
0.000 0.000 7.881
Cr Co W
2 1 1
Cartesian
0.000 0.000 0.000
1.553 0.000 1.913
1.553 0.000 6.101
0.000 0.000 4.069
```

Calculated volume ... 12.62 A^3/atom
ΔH_f (0 K) ... 0.1663 eV per atom
SG ... No. 35
Raw total energy ... -9.660 eV/atom
Distance to the lowest polymorph of the same formula ... 0.029 eV/atom

Record 15
## CrCoW (GGA-PBE)

Data for a geometry-optimized CrCoW structure.

Geometry as POSCAR:
```
CrCoW
1.0
2.353 -6.423 0.000
2.353 6.423 0.000
-0.449 0.000 2.539
Cr Co W
2 2 2
Cartesian
0.999 0.000 0.658
3.258 0.000 1.881
2.353 1.835 0.000
2.353 -1.835 0.000
2.128 4.145 1.270
2.128 -4.145 1.270
```

Calculated volume ... 12.79 A^3/atom
ΔH_f (0 K) ... 0.1605 eV per atom
SG ... No. 12
Raw total energy ... -9.734 eV/atom
Distance to the lowest polymorph of the same formula ... 0.081 eV/atom

Record 16
## CrCoW (GGA-PBE)

Data for a geometry-optimized CrCoW structure.

Geometry as POSCAR:
```
CrCoW
1.0
4.445 -2.045 0.000
4.445 2.045 0.000
-3.008 0.000 4.260
Cr Co W
2 2 2
Cartesian
0.604 0.000 1.437
5.277 0.000 2.824
-1.150 0.000 3.553
7.031 0.000 0.707
4.445 0.000 0.000
2.941 0.000 2.130
```

Calculated volume ... 12.90 A^3/atom
ΔH_f (0 K) ... 0.1842 eV per atom
SG ... No. 12
Raw total energy ... -9.710 eV/atom
Distance to the lowest polymorph of the same formula ... 0.105 eV/atom

Record 17
## CrCoW (GGA-PBE)

Data for a geometry-optimized CrCoW structure.

Geometry as POSCAR:
```
CrCoW
1.0
-1.523 1.523 4.278
1.523 -1.523 4.278
1.523 1.523 -4.278
Cr Co W
1 1 1
Cartesian
0.000 0.000 0.000
0.000 0.000 5.687
0.000 0.000 2.848
```

Calculated volume ... 13.24 A^3/atom
ΔH_f (0 K) ... 0.2042 eV per atom
SG ... No. 107
Raw total energy ... -9.690 eV/atom
Distance to the lowest polymorph of the same formula ... 0.125 eV/atom

Record 18
## Cr2CoW (GGA-PBE)

Data for a geometry-optimized Cr2CoW structure.

Geometry as POSCAR:
```
Cr2CoW
1.0
0.000 2.949 2.949
2.949 0.000 2.949
2.949 2.949 0.000
Cr Co W
2 1 1
Cartesian
0.000 0.000 0.000
1.474 1.474 1.474
2.949 2.949 2.949
4.423 4.423 4.423
```

Calculated volume ... 12.82 A^3/atom
ΔH_f (0 K) ... 0.1557 eV per atom
SG ... No. 216
Raw total energy ... -9.671 eV/atom
Distance to the lowest polymorph of the same formula ... 0.018 eV/atom

Record 19
## CrCoW (GGA-PBE)

Data for a geometry-optimized CrCoW structure.

Geometry as POSCAR:
```
CrCoW
1.0
0.000 2.825 2.825
2.825 0.000 2.825
2.825 2.825 0.000
Cr Co W
1 1 1
Cartesian
0.000 0.000 0.000
1.412 1.412 1.412
2.825 2.825 2.825
```

Calculated volume ... 15.03 A^3/atom
ΔH_f (0 K) ... 0.6854 eV per atom
SG ... No. 216
Raw total energy ... -9.209 eV/atom
Distance to the lowest polymorph of the same formula ... 0.606 eV/atom

Record 20
## Cr2CoW (GGA-PBE)

Data for a geometry-optimized Cr2CoW structure.

Geometry as POSCAR:
```
Cr2CoW
1.0
-1.838 1.838 3.742
1.838 -1.838 3.742
1.838 1.838 -3.742
Cr Co W
2 1 1
Cartesian
0.000 0.000 0.000
0.000 1.838 1.871
0.000 0.000 3.742
1.838 0.000 1.871
```

Calculated volume ... 12.64 A^3/atom
ΔH_f (0 K) ... 0.2281 eV per atom
SG ... No. 119
Raw total energy ... -9.598 eV/atom
Distance to the lowest polymorph of the same formula ... 0.091 eV/atom

Record 21
## CrCoW2 (GGA-PBE)

Data for a geometry-optimized CrCoW2 structure.

Geometry as POSCAR:
```
CrCoW2
1.0
-1.583 2.148 4.098
1.583 -2.148 4.098
1.583 2.148 -4.098
Cr Co W
1 1 2
Cartesian
0.000 0.000 0.000
0.000 0.000 4.098
1.583 0.000 1.994
0.000 2.148 2.105
```

Calculated volume ... 13.94 A^3/atom
ΔH_f (0 K) ... 0.2054 eV per atom
SG ... No. 71
Raw total energy ... -10.454 eV/atom
Distance to the lowest polymorph of the same formula ... 0.060 eV/atom

Record 22
## CrCo2W (GGA-PBE)

Data for a geometry-optimized CrCo2W structure.

Geometry as POSCAR:
```
CrCo2W
1.0
-1.819 1.819 3.711
1.819 -1.819 3.711
1.819 1.819 -3.711
Cr Co W
1 2 1
Cartesian
0.000 0.000 0.000
0.000 0.000 3.711
0.000 1.819 1.855
1.819 0.000 1.855
```

Calculated volume ... 12.28 A^3/atom
ΔH_f (0 K) ... 0.1364 eV per atom
SG ... No. 119
Raw total energy ... -9.061 eV/atom
Distance to the lowest polymorph of the same formula ... 0.110 eV/atom

Record 23
## CrCoW2 (GGA-PBE)

Data for a geometry-optimized CrCoW2 structure.

Geometry as POSCAR:
```
CrCoW2
1.0
3.139 0.000 0.000
0.000 4.177 0.000
0.000 0.000 4.282
Cr Co W
1 1 2
Cartesian
0.000 0.000 0.000
1.570 0.000 2.141
0.000 2.089 2.141
1.570 2.089 0.000
```

Calculated volume ... 14.04 A^3/atom
ΔH_f (0 K) ... 0.1909 eV per atom
SG ... No. 47
Raw total energy ... -10.468 eV/atom
Distance to the lowest polymorph of the same formula ... 0.045 eV/atom

Record 24
## CrCoW2 (GGA-PBE)

Data for a geometry-optimized CrCoW2 structure.

Geometry as POSCAR:
```
CrCoW2
1.0
0.000 3.042 3.042
3.042 0.000 3.042
3.042 3.042 0.000
Cr Co W
1 1 2
Cartesian
0.000 0.000 0.000
4.563 4.563 4.563
1.521 1.521 1.521
3.042 3.042 3.042
```

Calculated volume ... 14.08 A^3/atom
ΔH_f (0 K) ... 0.2257 eV per atom
SG ... No. 216
Raw total energy ... -10.433 eV/atom
Distance to the lowest polymorph of the same formula ... 0.080 eV/atom

Record 25
## Cr2CoW (GGA-PBE)

Data for a geometry-optimized Cr2CoW structure.

Geometry as POSCAR:
```
Cr2CoW
1.0
4.115 0.000 0.000
0.000 4.115 0.000
0.000 0.000 3.022
Cr Co W
2 1 1
Cartesian
0.000 2.057 0.000
2.057 0.000 0.000
0.000 0.000 1.511
2.057 2.057 1.511
```

Calculated volume ... 12.79 A^3/atom
ΔH_f (0 K) ... 0.1522 eV per atom
SG ... No. 123
Raw total energy ... -9.674 eV/atom
Distance to the lowest polymorph of the same formula ... 0.015 eV/atom

Record 26
## CrCo2W (GGA-PBE)

Data for a geometry-optimized CrCo2W structure.

Geometry as POSCAR:
```
CrCo2W
1.0
2.595 0.000 0.000
0.000 2.595 0.000
0.000 0.000 7.204
Cr Co W
1 2 1
Cartesian
0.000 0.000 0.000
1.298 1.298 1.682
1.298 1.298 5.522
0.000 0.000 3.602
```

Calculated volume ... 12.13 A^3/atom
ΔH_f (0 K) ... 0.0936 eV per atom
SG ... No. 123
Raw total energy ... -9.103 eV/atom
Distance to the lowest polymorph of the same formula ... 0.068 eV/atom

Record 27
## Cr2CoW (GGA-PBE)

Data for a geometry-optimized Cr2CoW structure.

Geometry as POSCAR:
```
Cr2CoW
1.0
1.308 0.755 8.699
-1.308 0.755 8.699
0.000 -1.511 8.699
Cr Co W
2 1 1
Cartesian
0.000 0.000 6.320
0.000 0.000 19.778
0.000 0.000 13.049
0.000 0.000 0.000
```

Calculated volume ... 12.89 A^3/atom
ΔH_f (0 K) ... 0.3955 eV per atom
SG ... No. 166
Raw total energy ... -9.431 eV/atom
Distance to the lowest polymorph of the same formula ... 0.258 eV/atom

Record 28
## CrCoW (GGA-PBE)

Data for a geometry-optimized CrCoW structure.

Geometry as POSCAR:
```
CrCoW
1.0
2.613 0.000 0.000
0.000 4.172 0.000
-0.486 0.000 7.013
Cr Co W
2 2 2
Cartesian
0.408 1.043 0.506
1.718 3.129 6.506
-0.168 3.129 4.222
2.295 1.043 2.791
1.164 3.129 1.946
0.963 1.043 5.066
```

Calculated volume ... 12.74 A^3/atom
ΔH_f (0 K) ... 0.0790 eV per atom
SG ... No. 11
Raw total energy ... -9.815 eV/atom
Distance to the lowest polymorph of the same formula ... 0.000 eV/atom

Record 29
## CrCoW3 (GGA-PBE)

Data for a geometry-optimized CrCoW3 structure.

Geometry as POSCAR:
```
CrCoW3
1.0
4.414 0.000 0.000
0.000 4.414 0.000
0.000 0.000 4.414
Cr Co W
1 1 3
Cartesian
0.000 0.000 0.000
2.207 2.207 2.207
0.000 2.207 2.207
2.207 0.000 2.207
2.207 2.207 0.000
```

Calculated volume ... 17.20 A^3/atom
ΔH_f (0 K) ... 1.6476 eV per atom
SG ... No. 221
Raw total energy ... -9.470 eV/atom
Distance to the lowest polymorph of the same formula ... 0.000 eV/atom

Record 30
## Cr2CoW (GGA-PBE)

Data for a geometry-optimized Cr2CoW structure.

Geometry as POSCAR:
```
Cr2CoW
1.0
1.333 0.770 8.414
-1.333 0.770 8.414
0.000 -1.540 8.414
Cr Co W
2 1 1
Cartesian
0.000 0.000 0.000
0.000 0.000 6.450
0.000 0.000 18.767
0.000 0.000 12.552
```

Calculated volume ... 12.96 A^3/atom
ΔH_f (0 K) ... 0.3959 eV per atom
SG ... No. 160
Raw total energy ... -9.431 eV/atom
Distance to the lowest polymorph of the same formula ... 0.259 eV/atom